Entry 1:
{"formula": "Lu5Pu3O12", "functional": "PBE", "state": "optimized geometry", "lattice_angstrom": [[-6.689, 6.689, 6.689], [6.689, -6.689, 6.689], [6.689, 6.689, -6.689]], "species": ["Lu", "Lu", "Lu", "Lu", "Lu", "Lu", "Lu", "Lu", "Lu", "Lu", "Lu", "Lu", "Lu", "Lu", "Lu", "Lu", "Lu", "Lu", "Lu", "Lu", "Pu", "Pu", "Pu", "Pu", "Pu", "Pu", "Pu", "Pu", "Pu", "Pu", "Pu", "Pu", "O", "O", "O", "O", "O", "O", "O", "O", "O", "O", "O", "O", "O", "O", "O", "O", "O", "O", "O", "O", "O", "O", "O", "O", "O", "O", "O", "O", "O", "O", "O", "O", "O", "O", "O", "O", "O", "O", "O", "O", "O", "O", "O", "O", "O", "O", "O", "O"], "frac_coords": [[0.000, 0.000, 0.000], [0.000, 0.000, 0.500], [0.000, 0.500, 0.000], [0.000, 0.500, 0.500], [0.125, 0.750, 0.875], [0.125, 0.875, 0.250], [0.250, 0.125, 0.875], [0.250, 0.625, 0.375], [0.375, 0.250, 0.625], [0.375, 0.625, 0.750], [0.500, 0.000, 0.000], [0.500, 0.000, 0.500], [0.500, 0.500, 0.000], [0.500, 0.500, 0.500], [0.625, 0.375, 0.250], [0.625, 0.750, 0.375], [0.750, 0.375, 0.625], [0.750, 0.875, 0.125], [0.875, 0.125, 0.750], [0.875, 0.250, 0.125], [0.125, 0.250, 0.375], [0.125, 0.375, 0.750], [0.250, 0.375, 0.125], [0.250, 0.875, 0.625], [0.375, 0.125, 0.250], [0.375, 0.750, 0.125], [0.625, 0.250, 0.875], [0.625, 0.875, 0.750], [0.750, 0.125, 0.375], [0.750, 0.625, 0.875], [0.875, 0.625, 0.250], [0.875, 0.750, 0.625], [0.039, 0.215, 0.128], [0.039, 0.324, 0.911], [0.087, 0.715, 0.676], [0.087, 0.872, 0.411], [0.089, 0.628, 0.413], [0.089, 0.961, 0.676], [0.128, 0.039, 0.215], [0.128, 0.589, 0.913], [0.176, 0.215, 0.587], [0.176, 0.461, 0.589], [0.215, 0.128, 0.039], [0.215, 0.587, 0.176], [0.285, 0.324, 0.913], [0.285, 0.461, 0.372], [0.324, 0.911, 0.039], [0.324, 0.913, 0.285], [0.372, 0.285, 0.461], [0.372, 0.587, 0.911], [0.411, 0.087, 0.872], [0.411, 0.824, 0.539], [0.413, 0.089, 0.628], [0.413, 0.824, 0.785], [0.461, 0.372, 0.285], [0.461, 0.589, 0.176], [0.539, 0.411, 0.824], [0.539, 0.628, 0.715], [0.587, 0.176, 0.215], [0.587, 0.911, 0.372], [0.589, 0.176, 0.461], [0.589, 0.913, 0.128], [0.628, 0.413, 0.089], [0.628, 0.715, 0.539], [0.676, 0.087, 0.715], [0.676, 0.089, 0.961], [0.715, 0.539, 0.628], [0.715, 0.676, 0.087], [0.785, 0.413, 0.824], [0.785, 0.872, 0.961], [0.824, 0.539, 0.411], [0.824, 0.785, 0.413], [0.872, 0.411, 0.087], [0.872, 0.961, 0.785], [0.911, 0.039, 0.324], [0.911, 0.372, 0.587], [0.913, 0.128, 0.589], [0.913, 0.285, 0.324], [0.961, 0.676, 0.089], [0.961, 0.785, 0.872]], "formation_energy_uncorrected_ev_per_atom": -3.236, "dos_at_fermi_per_ev_cell": 114.26, "mass_density_g_cm3": 10.0, "volume_a3_per_cell": 1197, "final_energy_ev_per_atom": -9.491}


Entry 2:
{"formula": "CsZnBiPb", "functional": "PBE", "state": "optimized geometry", "lattice_angstrom": [[4.476, 0.000, 0.000], [0.000, 4.476, 0.000], [0.000, 0.000, 15.641]], "species": ["Cs", "Cs", "Zn", "Zn", "Bi", "Bi", "Pb", "Pb"], "frac_coords": [[0.250, 0.250, 0.239], [0.750, 0.750, 0.761], [0.250, 0.750, 0.500], [0.750, 0.250, 0.500], [0.250, 0.250, 0.613], [0.750, 0.750, 0.387], [0.250, 0.750, 0.000], [0.750, 0.250, 0.000]], "dos_at_fermi_per_ev_cell": 5.58, "mass_density_g_cm3": 6.5, "volume_a3_per_cell": 313, "formation_enthalpy_0k_mev_per_atom": -103.0, "final_energy_ev_per_atom": -2.532}


Entry 3:
{"formula": "GdCo4Hg", "functional": "PBE", "state": "optimized geometry", "lattice_angstrom": [[0.000, 3.551, 3.551], [3.551, 0.000, 3.551], [3.551, 3.551, 0.000]], "species": ["Gd", "Co", "Co", "Co", "Co", "Hg"], "frac_coords": [[0.000, 0.000, 0.000], [0.126, 0.625, 0.625], [0.625, 0.126, 0.625], [0.625, 0.625, 0.126], [0.625, 0.625, 0.625], [0.250, 0.250, 0.250]], "dos_at_fermi_per_ev_cell": 9.00, "mass_density_g_cm3": 11.0, "volume_a3_per_cell": 90, "formation_enthalpy_0k_mev_per_atom": -22.1, "final_energy_ev_per_atom": -7.156}


Entry 4:
{"formula": "Nb2NiHg2", "functional": "PBE", "state": "optimized geometry", "lattice_angstrom": [[6.414, 0.000, 0.000], [0.000, 6.414, 0.000], [0.000, 0.000, 4.803]], "species": ["Nb", "Nb", "Nb", "Nb", "Ni", "Ni", "Hg", "Hg", "Hg", "Hg"], "frac_coords": [[0.144, 0.356, 0.000], [0.356, 0.856, 0.000], [0.644, 0.144, 0.000], [0.856, 0.644, 0.000], [0.000, 0.000, 0.000], [0.500, 0.500, 0.000], [0.167, 0.667, 0.500], [0.333, 0.167, 0.500], [0.667, 0.833, 0.500], [0.833, 0.333, 0.500]], "dos_at_fermi_per_ev_cell": 12.89, "mass_density_g_cm3": 10.9, "polymorph_energy_ev_per_atom": 0.000, "volume_a3_per_cell": 198, "formation_enthalpy_0k_mev_per_atom": 489.9, "final_energy_ev_per_atom": -4.815}


Entry 5:
{"formula": "Os2W", "functional": "PBE", "state": "optimized geometry", "lattice_angstrom": [[1.394, -7.209, 0.000], [1.394, 7.209, 0.000], [0.000, 0.000, 4.453]], "species": ["Os", "Os", "Os", "Os", "W", "W"], "frac_coords": [[0.059, 0.941, 0.750], [0.277, 0.723, 0.250], [0.723, 0.277, 0.750], [0.941, 0.059, 0.250], [0.391, 0.609, 0.750], [0.609, 0.391, 0.250]], "dos_at_fermi_per_ev_cell": 5.07, "mass_density_g_cm3": 20.9, "polymorph_energy_ev_per_atom": 0.018, "volume_a3_per_cell": 90, "formation_enthalpy_0k_mev_per_atom": 17.0, "final_energy_ev_per_atom": -11.787}


Entry 6:
{"formula": "Tm3ThTc", "functional": "PBE", "state": "optimized geometry", "lattice_angstrom": [[5.949, -1.954, 0.000], [5.949, 1.954, 0.000], [-4.979, 0.000, 11.706]], "species": ["Tm", "Tm", "Tm", "Tm", "Tm", "Tm", "Th", "Th", "Tc", "Tc"], "frac_coords": [[0.000, 0.000, 0.000], [0.029, 0.029, 0.380], [0.327, 0.327, 0.772], [0.371, 0.371, 0.144], [0.561, 0.561, 0.629], [0.674, 0.674, 0.910], [0.690, 0.690, 0.229], [0.801, 0.801, 0.526], [0.346, 0.346, 0.388], [0.993, 0.993, 0.765]], "dos_at_fermi_per_ev_cell": 8.57, "mass_density_g_cm3": 10.2, "polymorph_energy_ev_per_atom": 0.000, "volume_a3_per_cell": 272, "formation_enthalpy_0k_mev_per_atom": -98.0, "final_energy_ev_per_atom": -6.338}


Entry 7:
{"formula": "Ba2CaCu2", "functional": "PBE", "state": "optimized geometry", "lattice_angstrom": [[-2.613, 2.613, 6.439], [2.613, -2.613, 6.439], [2.613, 2.613, -6.439]], "species": ["Ba", "Ba", "Ca", "Cu", "Cu"], "frac_coords": [[0.250, 0.750, 0.500], [0.750, 0.250, 0.500], [0.000, 0.000, 0.000], [0.407, 0.407, 0.000], [0.593, 0.593, 0.000]], "dos_at_fermi_per_ev_cell": 4.88, "mass_density_g_cm3": 4.2, "polymorph_energy_ev_per_atom": 0.220, "volume_a3_per_cell": 176, "formation_enthalpy_0k_mev_per_atom": 209.8, "final_energy_ev_per_atom": -2.598}


Entry 8:
{"formula": "PmTeAs2Rh5", "functional": "PBE", "state": "optimized geometry", "lattice_angstrom": [[4.049, 0.000, 0.000], [0.000, 4.049, 0.000], [0.000, 0.000, 10.927]], "species": ["Pm", "Te", "As", "As", "Rh", "Rh", "Rh", "Rh", "Rh"], "frac_coords": [[0.000, 0.000, 0.000], [0.000, 0.000, 0.500], [0.500, 0.500, 0.219], [0.500, 0.500, 0.781], [0.000, 0.500, 0.343], [0.000, 0.500, 0.657], [0.500, 0.000, 0.343], [0.500, 0.000, 0.657], [0.500, 0.500, 0.000]], "formation_energy_uncorrected_ev_per_atom": -0.496, "dos_at_fermi_per_ev_cell": 4.48, "mass_density_g_cm3": 8.7, "volume_a3_per_cell": 179, "final_energy_ev_per_atom": -6.490}